(1)
First-principles (GGA-PBE) data for crystalline Tl4CrBr6 at its relaxed geometry, as listed in the Alexandria database.

Lattice parameters (Å, degrees): 8.8656 8.8656 9.3566 90.00 90.00 90.00
Last column: nearest neighbours and their distance in Å.
Fractional coordinates of all 22 atoms:
Tl: 0.1528 0.3472 0.2500  6 Br 3.26-3.46
Tl: 0.1528 0.3472 0.7500  6 Br 3.26-3.46
Tl: 0.3472 0.8472 0.2500  6 Br 3.26-3.46
Tl: 0.3472 0.8472 0.7500  6 Br 3.26-3.46
Tl: 0.6528 0.1528 0.2500  6 Br 3.26-3.46
Tl: 0.6528 0.1528 0.7500  6 Br 3.26-3.46
Tl: 0.8472 0.6528 0.2500  6 Br 3.26-3.46
Tl: 0.8472 0.6528 0.7500  6 Br 3.26-3.46
Cr: 0.0000 0.0000 0.0000  6 Br 2.55-2.80
Cr: 0.5000 0.5000 0.5000  6 Br 2.55-2.80
Br: 0.0000 0.0000 0.2720  1 Cr 2.55
Br: 0.0000 0.0000 0.7280  1 Cr 2.55
Br: 0.1289 0.7122 0.0000  1 Cr 2.80
Br: 0.2122 0.6289 0.5000  1 Cr 2.80
Br: 0.2878 0.1289 0.0000  1 Cr 2.80
Br: 0.3711 0.2122 0.5000  1 Cr 2.80
Br: 0.5000 0.5000 0.2280  1 Cr 2.55
Br: 0.5000 0.5000 0.7720  1 Cr 2.55
Br: 0.6289 0.7878 0.5000  1 Cr 2.80
Br: 0.7122 0.8711 0.0000  1 Cr 2.80
Br: 0.7878 0.3711 0.5000  1 Cr 2.80
Br: 0.8711 0.2878 0.0000  1 Cr 2.80

The space group is No. 128. The final energy is -75.4 eV/cell.

***

(2)
First-principles (GGA-PBE) data for crystalline Ga3CoAu at its relaxed geometry, as listed in the Alexandria database.

Lattice parameters (Å, degrees): 4.5418 4.5418 4.5418 90.00 90.00 90.00
Last column: nearest neighbours and their distance in Å.
Fractional coordinates of all 5 atoms:
Ga: 0.0000 0.0000 0.5000  2 Co 2.27
Ga: 0.0000 0.5000 0.0000  2 Co 2.27
Ga: 0.5000 0.0000 0.0000  2 Co 2.27
Co: 0.0000 0.0000 0.0000  6 Ga 2.27
Au: 0.5000 0.5000 0.5000  12 Ga 3.21

The space group is No. 221. The calculation puts the relative energy among the computed polymorphs at 149 meV per atom. The value obtained for the formation energy is -30.2 meV per atom.